[1]
FeN2ClF | meta-GGA SCAN | PBEsol geometry

a = 3.497 Å, b = 3.497 Å, c = 4.636 Å
α = 90.00°, β = 90.00°, γ = 90.00°
Space group P4/mmm (No. 123)
Symmetry-distinct sites (fractional):
Fe 0.000 0.000 0.000 [1 per cell]
N 0.000 0.500 0.500 [2 per cell]
Cl 0.500 0.500 0.500 [1 per cell]
F 0.500 0.500 0.000 [1 per cell]

Magnetization = 4.27 μB/cell
Raw total energy = -0.578 Ry per atom
Crystal system = tetragonal
Formation energy (no corrections) = 1778.9 meV per atom

=====

[2]
LiSi2Os | meta-GGA SCAN | PBEsol geometry

a = 7.922 Å, b = 2.909 Å, c = 4.867 Å
α = 90.00°, β = 99.26°, γ = 90.00°
Space group C2/m (No. 12)
Symmetry-distinct sites (fractional):
Li 0.000 0.000 0.000 [2 per cell]
Si 0.237 0.000 0.711 [4 per cell]
Os 0.000 0.500 0.500 [2 per cell]

Magnetization = 0.00 μB/cell
Raw total energy = -1.746 Ry per atom
Crystal system = monoclinic
Formation energy (no corrections) = -177.0 meV per atom

=====

[3]
Zr2TlAu | meta-GGA SCAN | PBEsol geometry

a = 6.938 Å, b = 6.938 Å, c = 6.938 Å
α = 90.00°, β = 90.00°, γ = 90.00°
Space group F-43m (No. 216)
Symmetry-distinct sites (fractional):
Zr 0.000 0.000 0.000 [4 per cell]
Zr 0.250 0.250 0.250 [4 per cell]
Tl 0.250 0.250 0.750 [4 per cell]
Au 0.000 0.000 0.500 [4 per cell]

Magnetization = 13.61 μB/cell
Raw total energy = -3.729 Ry per atom
ΔH_f (0 K) = 0.00 eV/atom
Crystal system = cubic